[1]
The following is a PBE calculation of an optimized crystal structure of GdDyThPa, from Alexandria.

POSCAR file:
```
GdDyThPa
1.0
7.861 0.000 0.000
0.000 7.861 0.000
0.000 0.000 7.861
Gd Dy Th Pa
4 4 4 4
direct
0.000 0.000 0.000 Gd
0.000 0.500 0.500 Gd
0.500 0.000 0.500 Gd
0.500 0.500 0.000 Gd
0.250 0.250 0.250 Dy
0.250 0.750 0.750 Dy
0.750 0.250 0.750 Dy
0.750 0.750 0.250 Dy
0.250 0.250 0.750 Th
0.250 0.750 0.250 Th
0.750 0.250 0.250 Th
0.750 0.750 0.750 Th
0.000 0.000 0.500 Pa
0.000 0.500 0.000 Pa
0.500 0.000 0.000 Pa
0.500 0.500 0.500 Pa
```

Results
formation energy from the elements	0.3489	eV per atom

***

[2]
The following is a PBE calculation of an optimized crystal structure of GdDyPb2, from Alexandria.

POSCAR file:
```
GdDyPb2
1.0
5.037 0.000 0.000
0.000 5.037 0.000
0.000 0.000 4.474
Gd Dy Pb
1 1 2
direct
0.000 0.000 0.000 Gd
0.500 0.500 0.000 Dy
0.000 0.500 0.500 Pb
0.500 0.000 0.500 Pb
```

Results
formation energy from the elements	-0.4665	eV per atom